Run P
HoTl2Cu | GGA-PBE | optimized geometry

Geometry as CIF:
```
data_HoTl2Cu
_chemical_formula_sum 'Ho3 Tl6 Cu3'
_space_group_name_H-M_alt 'R -3 m'
_space_group_IT_number 166
_space_group_name_Hall '-R 3 2"'
_cell_length_a 4.5902
_cell_length_b 4.5902
_cell_length_c 15.5537
_cell_angle_alpha 90.00
_cell_angle_beta 90.00
_cell_angle_gamma 120.00
loop_
_atom_site_label
_atom_site_type_symbol
_atom_site_fract_x
_atom_site_fract_y
_atom_site_fract_z
_atom_site_occupancy
Ho1 Ho 0.0000 0.0000 0.0000 1
Tl1 Tl 0.0000 0.0000 0.2274 1
Cu1 Cu 0.0000 0.0000 0.5000 1
```


Run Q
HoTl2Cu | GGA-PBE | optimized geometry

Geometry as CIF:
```
data_HoTl2Cu
_chemical_formula_sum 'Ho1 Tl2 Cu1'
_space_group_name_H-M_alt 'P 4/m m m'
_space_group_IT_number 123
_space_group_name_Hall '-P 4 2'
_cell_length_a 4.6825
_cell_length_b 4.6825
_cell_length_c 4.2493
_cell_angle_alpha 90.00
_cell_angle_beta 90.00
_cell_angle_gamma 90.00
loop_
_atom_site_label
_atom_site_type_symbol
_atom_site_fract_x
_atom_site_fract_y
_atom_site_fract_z
_atom_site_occupancy
Ho1 Ho 0.0000 0.0000 0.0000 1
Tl1 Tl 0.0000 0.5000 0.5000 1
Cu1 Cu 0.5000 0.5000 0.0000 1
```


Energy comparison, zero being the most stable, in eV/atom: run P 0.016; run Q 0.000.


Run P
Ho2TmCu | GGA-PBE | optimized geometry

Geometry as CIF:
```
data_Ho2TmCu
_chemical_formula_sum 'Ho8 Tm4 Cu4'
_space_group_name_H-M_alt 'P n m a'
_space_group_IT_number 62
_cell_length_a 6.7820
_cell_length_b 9.5788
_cell_length_c 6.4311
_cell_angle_alpha 90.00
_cell_angle_beta 90.00
_cell_angle_gamma 90.00
loop_
_space_group_symop_operation_xyz
'x,y,z'
'-x,-y,-z'
'-x+1/2,-y,z+1/2'
'x+1/2,y,-z+1/2'
'x+1/2,-y+1/2,-z+1/2'
'-x+1/2,y+1/2,z+1/2'
'-x,y+1/2,-z'
'x,-y+1/2,z'
loop_
_atom_site_label
_atom_site_type_symbol
_atom_site_fract_x
_atom_site_fract_y
_atom_site_fract_z
_atom_site_occupancy
Ho1 Ho 0.1935 0.0594 0.1883 1
Tm1 Tm 0.0206 0.2500 0.6299 1
Cu1 Cu 0.0928 0.7500 0.9537 1
```


Run Q
Ho2TmCu | GGA-PBE | optimized geometry

Geometry as CIF:
```
data_Ho2TmCu
_chemical_formula_sum 'Ho6 Tm3 Cu3'
_space_group_name_H-M_alt 'R -3 m'
_space_group_IT_number 166
_space_group_name_Hall '-R 3 2"'
_cell_length_a 3.5369
_cell_length_b 3.5369
_cell_length_c 29.5128
_cell_angle_alpha 90.00
_cell_angle_beta 90.00
_cell_angle_gamma 120.00
loop_
_atom_site_label
_atom_site_type_symbol
_atom_site_fract_x
_atom_site_fract_y
_atom_site_fract_z
_atom_site_occupancy
Ho1 Ho 0.0000 0.0000 0.2359 1
Tm1 Tm 0.0000 0.0000 0.0000 1
Cu1 Cu 0.0000 0.0000 0.5000 1
```


Run R
Ho2TmCu | GGA-PBE | optimized geometry

Geometry as CIF:
```
data_Ho2TmCu
_chemical_formula_sum 'Ho2 Tm1 Cu1'
_space_group_name_H-M_alt 'P 4/m m m'
_space_group_IT_number 123
_space_group_name_Hall '-P 4 2'
_cell_length_a 3.4604
_cell_length_b 3.4604
_cell_length_c 8.5986
_cell_angle_alpha 90.00
_cell_angle_beta 90.00
_cell_angle_gamma 90.00
loop_
_atom_site_label
_atom_site_type_symbol
_atom_site_fract_x
_atom_site_fract_y
_atom_site_fract_z
_atom_site_occupancy
Ho1 Ho 0.0000 0.0000 0.2006 1
Tm1 Tm 0.5000 0.5000 0.5000 1
Cu1 Cu 0.5000 0.5000 0.0000 1
```


Run S
Ho2TmCu | GGA-PBE | optimized geometry

Geometry as CIF:
```
data_Ho2TmCu
_chemical_formula_sum 'Ho8 Tm4 Cu4'
_space_group_name_H-M_alt 'C m c m'
_space_group_IT_number 63
_space_group_name_Hall '-C 2c 2'
_cell_length_a 4.8593
_cell_length_b 11.4182
_cell_length_c 7.5351
_cell_angle_alpha 90.00
_cell_angle_beta 90.00
_cell_angle_gamma 90.00
loop_
_atom_site_label
_atom_site_type_symbol
_atom_site_fract_x
_atom_site_fract_y
_atom_site_fract_z
_atom_site_occupancy
Ho1 Ho 0.0000 0.1475 0.0329 1
Tm1 Tm 0.0000 0.4557 0.2500 1
Cu1 Cu 0.0000 0.2985 0.7500 1
```


Energy comparison, zero being the most stable, in eV/atom: run P 0.000; run Q 0.150; run R 0.020; run S 0.051.


Run P
Ho2TmCu2 | GGA-PBE | optimized geometry

Geometry as CIF:
```
data_Ho2TmCu2
_chemical_formula_sum 'Ho4 Tm2 Cu4'
_space_group_name_H-M_alt 'P 1 21/m 1'
_space_group_IT_number 11
_cell_length_a 3.4699
_cell_length_b 5.0083
_cell_length_c 13.0029
_cell_angle_alpha 90.00
_cell_angle_beta 97.66
_cell_angle_gamma 90.00
loop_
_space_group_symop_operation_xyz
'x,y,z'
'-x,-y,-z'
'-x,y+1/2,-z'
'x,-y+1/2,z'
loop_
_atom_site_label
_atom_site_type_symbol
_atom_site_fract_x
_atom_site_fract_y
_atom_site_fract_z
_atom_site_occupancy
Ho1 Ho 0.0472 0.2500 0.0935 1
Ho2 Ho 0.2302 0.2500 0.4594 1
Tm1 Tm 0.1421 0.7500 0.2827 1
Cu1 Cu 0.3586 0.7500 0.7200 1
Cu2 Cu 0.4526 0.2500 0.9063 1
```


Run Q
Ho2TmCu2 | GGA-PBE | optimized geometry

Geometry as CIF:
```
data_Ho2TmCu2
_chemical_formula_sum 'Ho8 Tm4 Cu8'
_space_group_name_H-M_alt 'C m c 21'
_space_group_IT_number 36
_cell_length_a 3.6747
_cell_length_b 13.8565
_cell_length_c 9.2295
_cell_angle_alpha 90.00
_cell_angle_beta 90.00
_cell_angle_gamma 90.00
loop_
_space_group_symop_operation_xyz
'x,y,z'
'-x,-y,z+1/2'
'-x,y,z'
'x,-y,z+1/2'
'x+1/2,y+1/2,z'
'-x+1/2,-y+1/2,z+1/2'
'-x+1/2,y+1/2,z'
'x+1/2,-y+1/2,z+1/2'
loop_
_atom_site_label
_atom_site_type_symbol
_atom_site_fract_x
_atom_site_fract_y
_atom_site_fract_z
_atom_site_occupancy
Ho1 Ho 0.0000 0.1132 0.0000 1
Ho2 Ho 0.0000 0.3058 0.2150 1
Tm1 Tm 0.0000 0.4200 0.8436 1
Cu1 Cu 0.0000 0.0465 0.6731 1
Cu2 Cu 0.0000 0.2146 0.4908 1
```


Energy comparison, zero being the most stable, in eV/atom: run P 0.000; run Q 0.080.


Run P
HoTm2Cu | GGA-PBE | optimized geometry

Geometry as CIF:
```
data_HoTm2Cu
_chemical_formula_sum 'Ho3 Tm6 Cu3'
_space_group_name_H-M_alt 'R -3 m'
_space_group_IT_number 166
_space_group_name_Hall '-R 3 2"'
_cell_length_a 3.5415
_cell_length_b 3.5415
_cell_length_c 29.2654
_cell_angle_alpha 90.00
_cell_angle_beta 90.00
_cell_angle_gamma 120.00
loop_
_atom_site_label
_atom_site_type_symbol
_atom_site_fract_x
_atom_site_fract_y
_atom_site_fract_z
_atom_site_occupancy
Ho1 Ho 0.0000 0.0000 0.0000 1
Tm1 Tm 0.0000 0.0000 0.2347 1
Cu1 Cu 0.0000 0.0000 0.5000 1
```


Run Q
HoTm2Cu | GGA-PBE | optimized geometry

Geometry as CIF:
```
data_HoTm2Cu
_chemical_formula_sum 'Ho4 Tm8 Cu4'
_space_group_name_H-M_alt 'P n m a'
_space_group_IT_number 62
_cell_length_a 6.7435
_cell_length_b 9.5599
_cell_length_c 6.4157
_cell_angle_alpha 90.00
_cell_angle_beta 90.00
_cell_angle_gamma 90.00
loop_
_space_group_symop_operation_xyz
'x,y,z'
'-x,-y,-z'
'-x+1/2,-y,z+1/2'
'x+1/2,y,-z+1/2'
'x+1/2,-y+1/2,-z+1/2'
'-x+1/2,y+1/2,z+1/2'
'-x,y+1/2,-z'
'x,-y+1/2,z'
loop_
_atom_site_label
_atom_site_type_symbol
_atom_site_fract_x
_atom_site_fract_y
_atom_site_fract_z
_atom_site_occupancy
Ho1 Ho 0.0161 0.2500 0.1286 1
Tm1 Tm 0.1904 0.0590 0.6878 1
Cu1 Cu 0.0936 0.7500 0.4495 1
```


Run R
HoTm2Cu | GGA-PBE | optimized geometry

Geometry as CIF:
```
data_HoTm2Cu
_chemical_formula_sum 'Ho1 Tm2 Cu1'
_space_group_name_H-M_alt 'P 4/m m m'
_space_group_IT_number 123
_space_group_name_Hall '-P 4 2'
_cell_length_a 3.4354
_cell_length_b 3.4354
_cell_length_c 8.6103
_cell_angle_alpha 90.00
_cell_angle_beta 90.00
_cell_angle_gamma 90.00
loop_
_atom_site_label
_atom_site_type_symbol
_atom_site_fract_x
_atom_site_fract_y
_atom_site_fract_z
_atom_site_occupancy
Ho1 Ho 0.0000 0.0000 0.0000 1
Tm1 Tm 0.5000 0.5000 0.3021 1
Cu1 Cu 0.0000 0.0000 0.5000 1
```


Energy comparison, zero being the most stable, in eV/atom: run P 0.145; run Q 0.000; run R 0.011.


Run P
Y2HoCu | GGA-PBE | optimized geometry

Geometry as CIF:
```
data_Y2HoCu
_chemical_formula_sum 'Y4 Ho2 Cu2'
_space_group_name_H-M_alt 'P 1 21/m 1'
_space_group_IT_number 11
_cell_length_a 4.9686
_cell_length_b 7.4655
_cell_length_c 6.3377
_cell_angle_alpha 90.00
_cell_angle_beta 113.02
_cell_angle_gamma 90.00
loop_
_space_group_symop_operation_xyz
'x,y,z'
'-x,-y,-z'
'-x,y+1/2,-z'
'x,-y+1/2,z'
loop_
_atom_site_label
_atom_site_type_symbol
_atom_site_fract_x
_atom_site_fract_y
_atom_site_fract_z
_atom_site_occupancy
Y1 Y 0.1479 0.0289 0.2962 1
Ho1 Ho 0.4572 0.2500 0.9145 1
Cu1 Cu 0.3049 0.7500 0.6075 1
```


Run Q
Y2HoCu | GGA-PBE | optimized geometry

Geometry as CIF:
```
data_Y2HoCu
_chemical_formula_sum 'Y6 Ho3 Cu3'
_space_group_name_H-M_alt 'R -3 m'
_space_group_IT_number 166
_space_group_name_Hall '-R 3 2"'
_cell_length_a 3.5530
_cell_length_b 3.5530
_cell_length_c 32.0584
_cell_angle_alpha 90.00
_cell_angle_beta 90.00
_cell_angle_gamma 120.00
loop_
_atom_site_label
_atom_site_type_symbol
_atom_site_fract_x
_atom_site_fract_y
_atom_site_fract_z
_atom_site_occupancy
Y1 Y 0.0000 0.0000 0.1057 1
Ho1 Ho 0.0000 0.0000 0.0000 1
Cu1 Cu 0.0000 0.0000 0.5000 1
```


Run R
Y2HoCu | GGA-PBE | optimized geometry

Geometry as CIF:
```
data_Y2HoCu
_chemical_formula_sum 'Y6 Ho3 Cu3'
_space_group_name_H-M_alt 'R 3 m'
_space_group_IT_number 160
_space_group_name_Hall 'R 3 -2"'
_cell_length_a 3.6697
_cell_length_b 3.6697
_cell_length_c 28.9417
_cell_angle_alpha 90.00
_cell_angle_beta 90.00
_cell_angle_gamma 120.00
loop_
_atom_site_label
_atom_site_type_symbol
_atom_site_fract_x
_atom_site_fract_y
_atom_site_fract_z
_atom_site_occupancy
Y1 Y 0.0000 0.0000 0.0000 1
Y2 Y 0.0000 0.0000 0.1985 1
Ho1 Ho 0.0000 0.0000 0.7651 1
Cu1 Cu 0.0000 0.0000 0.5997 1
```


Energy comparison, zero being the most stable, in eV/atom: run P 0.000; run Q 0.309; run R 0.089.


Run P
Y2HoCu | GGA-PBE | optimized geometry

Geometry as CIF:
```
data_Y2HoCu
_chemical_formula_sum 'Y2 Ho1 Cu1'
_space_group_name_H-M_alt 'P 4/m m m'
_space_group_IT_number 123
_space_group_name_Hall '-P 4 2'
_cell_length_a 3.4969
_cell_length_b 3.4969
_cell_length_c 8.7089
_cell_angle_alpha 90.00
_cell_angle_beta 90.00
_cell_angle_gamma 90.00
loop_
_atom_site_label
_atom_site_type_symbol
_atom_site_fract_x
_atom_site_fract_y
_atom_site_fract_z
_atom_site_occupancy
Y1 Y 0.0000 0.0000 0.1991 1
Ho1 Ho 0.5000 0.5000 0.5000 1
Cu1 Cu 0.5000 0.5000 0.0000 1
```


Run Q
Y2HoCu | GGA-PBE | optimized geometry

Geometry as CIF:
```
data_Y2HoCu
_chemical_formula_sum 'Y8 Ho4 Cu4'
_space_group_name_H-M_alt 'P n m a'
_space_group_IT_number 62
_cell_length_a 6.8444
_cell_length_b 9.7220
_cell_length_c 6.5051
_cell_angle_alpha 90.00
_cell_angle_beta 90.00
_cell_angle_gamma 90.00
loop_
_space_group_symop_operation_xyz
'x,y,z'
'-x,-y,-z'
'-x+1/2,-y,z+1/2'
'x+1/2,y,-z+1/2'
'x+1/2,-y+1/2,-z+1/2'
'-x+1/2,y+1/2,z+1/2'
'-x,y+1/2,-z'
'x,-y+1/2,z'
loop_
_atom_site_label
_atom_site_type_symbol
_atom_site_fract_x
_atom_site_fract_y
_atom_site_fract_z
_atom_site_occupancy
Y1 Y 0.1911 0.0601 0.1866 1
Ho1 Ho 0.0205 0.2500 0.6335 1
Cu1 Cu 0.0959 0.7500 0.9526 1
```


Energy comparison, zero being the most stable, in eV/atom: run P 0.025; run Q 0.000.


Run P
YHoCu | GGA-PBE | optimized geometry

Geometry as CIF:
```
data_YHoCu
_chemical_formula_sum 'Y4 Ho4 Cu4'
_space_group_name_H-M_alt 'P n m a'
_space_group_IT_number 62
_cell_length_a 6.9476
_cell_length_b 4.8880
_cell_length_c 8.6719
_cell_angle_alpha 90.00
_cell_angle_beta 90.00
_cell_angle_gamma 90.00
loop_
_space_group_symop_operation_xyz
'x,y,z'
'-x,-y,-z'
'-x+1/2,-y,z+1/2'
'x+1/2,y,-z+1/2'
'x+1/2,-y+1/2,-z+1/2'
'-x+1/2,y+1/2,z+1/2'
'-x,y+1/2,-z'
'x,-y+1/2,z'
loop_
_atom_site_label
_atom_site_type_symbol
_atom_site_fract_x
_atom_site_fract_y
_atom_site_fract_z
_atom_site_occupancy
Y1 Y 0.0160 0.2500 0.1740 1
Ho1 Ho 0.1431 0.2500 0.5837 1
Cu1 Cu 0.2453 0.2500 0.8996 1
```


Run Q
YHoCu | GGA-PBE | optimized geometry

Geometry as CIF:
```
data_YHoCu
_chemical_formula_sum 'Y4 Ho4 Cu4'
_space_group_name_H-M_alt 'C 1 2/m 1'
_space_group_IT_number 12
_cell_length_a 12.5866
_cell_length_b 3.6927
_cell_length_c 8.0871
_cell_angle_alpha 90.00
_cell_angle_beta 126.72
_cell_angle_gamma 90.00
loop_
_space_group_symop_operation_xyz
'x,y,z'
'-x,-y,-z'
'-x,y,-z'
'x,-y,z'
'x+1/2,y+1/2,z'
'-x+1/2,-y+1/2,-z'
'-x+1/2,y+1/2,-z'
'x+1/2,-y+1/2,z'
loop_
_atom_site_label
_atom_site_type_symbol
_atom_site_fract_x
_atom_site_fract_y
_atom_site_fract_z
_atom_site_occupancy
Y1 Y 0.1560 0.0000 0.0632 1
Ho1 Ho 0.0986 0.5000 0.3887 1
Cu1 Cu 0.1197 0.0000 0.6724 1
```


Energy comparison, zero being the most stable, in eV/atom: run P 0.000; run Q 0.025.


Run P
Ho2ZnCu3 | GGA-PBE | optimized geometry

Geometry as CIF:
```
data_Ho2ZnCu3
_chemical_formula_sum 'Ho16 Zn8 Cu24'
_space_group_name_H-M_alt 'F m m m'
_space_group_IT_number 69
_space_group_name_Hall '-F 2 2'
_cell_length_a 6.9547
_cell_length_b 8.6794
_cell_length_c 14.7873
_cell_angle_alpha 90.00
_cell_angle_beta 90.00
_cell_angle_gamma 90.00
loop_
_atom_site_label
_atom_site_type_symbol
_atom_site_fract_x
_atom_site_fract_y
_atom_site_fract_z
_atom_site_occupancy
Ho1 Ho 0.2463 0.0000 0.0000 1
Ho2 Ho 0.2500 0.2500 0.2500 1
Zn1 Zn 0.0000 0.0000 0.3332 1
Cu1 Cu 0.0000 0.0000 0.1654 1
Cu2 Cu 0.0000 0.2499 0.0835 1
```


Run Q
Ho2ZnCu3 | GGA-PBE | optimized geometry

Geometry as CIF:
```
data_Ho2ZnCu3
_chemical_formula_sum 'Ho4 Zn2 Cu6'
_space_group_name_H-M_alt 'I m m 2'
_space_group_IT_number 44
_cell_length_a 3.8057
_cell_length_b 3.8515
_cell_length_c 15.6657
_cell_angle_alpha 90.00
_cell_angle_beta 90.00
_cell_angle_gamma 90.00
loop_
_space_group_symop_operation_xyz
'x,y,z'
'-x,-y,z'
'-x,y,z'
'x,-y,z'
'x+1/2,y+1/2,z+1/2'
'-x+1/2,-y+1/2,z+1/2'
'-x+1/2,y+1/2,z+1/2'
'x+1/2,-y+1/2,z+1/2'
loop_
_atom_site_label
_atom_site_type_symbol
_atom_site_fract_x
_atom_site_fract_y
_atom_site_fract_z
_atom_site_occupancy
Ho1 Ho 0.0000 0.0000 0.0000 1
Ho2 Ho 0.0000 0.5000 0.2640 1
Zn1 Zn 0.0000 0.0000 0.5915 1
Cu1 Cu 0.0000 0.0000 0.4312 1
Cu2 Cu 0.0000 0.5000 0.6834 1
Cu3 Cu 0.0000 0.5000 0.8388 1
```


Energy comparison, zero being the most stable, in eV/atom: run P 0.000; run Q 0.036.